MnCuAs after structural relaxation. Source: the Alexandria database, functional PBE-GGA.

Calculated values
Crystal system ... orthorhombic
V ... 176.1 Å³ per cell
Density ... 7.30 g/cm³
Total energy ... -5.787 eV per atom
Formation energy ... 0.1846 eV per atom
D(E_F) ... 4.97 states/eV per cell

Cell lengths 3.7245, 4.3409, 10.8920 Å; angles 90.00, 90.00, 90.00 degrees
Space group Fmm2 (No. 42)
Asymmetric unit:
Mn: 0.0000 0.0000 0.0000 [4 per cell]
Cu: 0.0000 0.0000 0.3394 [4 per cell]
As: 0.0000 0.0000 0.6626 [4 per cell]